Entry 1:
This record from Alexandria via LeMat-Bulk describes an optimized crystal structure of LiDyScCo. The functional is PBE.

volume = 73.7 Å³/cell
density of states at the Fermi level = 3.136 states/eV per cell
space group = F-43m (216)
size of the total moment = 0.00 Bohr magnetons per cell

abc: 4.706 4.706 4.706
angles: 60.00 60.00 60.00
Atoms (fractional coordinates):
1 Li 0.500 0.500 0.500
2 Sc 0.250 0.250 0.250
3 Dy 0.750 0.750 0.750
4 Co 0.000 0.000 0.000

Entry 2:
This record from Alexandria via LeMat-Bulk describes an optimized crystal structure of LiDyCoSi. The functional is PBE.

volume = 60.1 Å³/cell
ΔE_f (raw) = -1.4 eV per formula unit
density of states at the Fermi level = 3.904 states/eV per cell
space group = F-43m (216)
size of the total moment = 0.86 Bohr magnetons per cell

abc: 4.396 4.396 4.396
angles: 60.00 60.00 60.00
Site moments in Bohr magnetons follow the coordinates.
Atoms (fractional coordinates):
1 Li 0.500 0.500 0.500  -0.01
2 Dy 0.250 0.250 0.250  0.09
3 Co 0.000 0.000 0.000  0.68
4 Si 0.750 0.750 0.750  0.04

Entry 3:
This record from Alexandria via LeMat-Bulk describes an optimized crystal structure of LiDyCoSn. The functional is PBE.

volume = 70.3 Å³/cell
density of states at the Fermi level = 3.865 states/eV per cell
space group = F-43m (216)
size of the total moment = 0.84 Bohr magnetons per cell

abc: 4.634 4.634 4.634
angles: 60.00 60.00 60.00
Site moments in Bohr magnetons follow the coordinates.
Atoms (fractional coordinates):
1 Dy 0.750 0.750 0.750  0.03
2 Co 0.000 0.000 0.000  0.73
3 Li 0.500 0.500 0.500  -0.01
4 Sn 0.250 0.250 0.250  0.04

Entry 4:
This record from Alexandria via LeMat-Bulk describes an optimized crystal structure of LiTbDyCo. The functional is PBE.

volume = 81.6 Å³/cell
density of states at the Fermi level = 3.322 states/eV per cell
space group = F-43m (216)
size of the total moment = 0.00 Bohr magnetons per cell

abc: 4.869 4.869 4.869
angles: 60.00 60.00 60.00
Atoms (fractional coordinates):
1 Li 0.500 0.500 0.500
2 Co 0.000 0.000 0.000
3 Dy 0.250 0.250 0.250
4 Tb 0.750 0.750 0.750

Entry 5:
This record from Alexandria via LeMat-Bulk describes an optimized crystal structure of LiDyTlCo. The functional is PBE.

volume = 73.6 Å³/cell
density of states at the Fermi level = 4.371 states/eV per cell
space group = F-43m (216)
size of the total moment = 1.03 Bohr magnetons per cell

abc: 4.704 4.704 4.704
angles: 60.00 60.00 60.00
Site moments in Bohr magnetons follow the coordinates.
Atoms (fractional coordinates):
1 Tl 0.250 0.250 0.250  0.04
2 Li 0.000 0.000 0.000  0.00
3 Co 0.500 0.500 0.500  0.82
4 Dy 0.750 0.750 0.750  0.05

Entry 6:
This record from Alexandria via LeMat-Bulk describes an optimized crystal structure of LiDyZnCo. The functional is PBE.

volume = 65.2 Å³/cell
density of states at the Fermi level = 2.526 states/eV per cell
space group = F-43m (216)
size of the total moment = 0.00 Bohr magnetons per cell

abc: 4.518 4.518 4.518
angles: 60.00 60.00 60.00
Atoms (fractional coordinates):
1 Co 0.500 0.500 0.500
2 Zn 0.250 0.250 0.250
3 Dy 0.750 0.750 0.750
4 Li 0.000 0.000 0.000

Entry 7:
This record from Alexandria via LeMat-Bulk describes an optimized crystal structure of DyLu2Co. The functional is PBE.

distance to the lowest polymorph of the same formula = 0.00 eV/f.u.
volume = 96.1 Å³/cell
density of states at the Fermi level = 4.256 states/eV per cell
space group = P4/mmm (123)
size of the total moment = 0.66 Bohr magnetons per cell

abc: 3.323 3.323 8.701
angles: 90.00 90.00 90.00
Site moments in Bohr magnetons follow the coordinates.
Atoms (fractional coordinates):
1 Lu 0.000 0.000 0.819  0.07
2 Lu 0.000 0.000 0.181  0.07
3 Co 0.500 0.500 0.000  -0.76
4 Dy 0.500 0.500 0.500  -0.05

Entry 8:
This record from Alexandria via LeMat-Bulk describes an optimized crystal structure of DyLu2Co. The functional is PBE.

distance to the lowest polymorph of the same formula = 1.55 eV/f.u.
volume = 92.8 Å³/cell
density of states at the Fermi level = 5.068 states/eV per cell
space group = R-3m (166)
size of the total moment = 0.63 Bohr magnetons per cell

abc: 5.091 5.091 5.074
angles: 59.88 59.88 60.00
Site moments in Bohr magnetons follow the coordinates.
Atoms (fractional coordinates):
1 Co 0.000 0.000 0.000  -0.77
2 Lu 0.249 0.249 0.252  0.05
3 Lu 0.751 0.751 0.748  0.05
4 Dy 0.500 0.500 0.500  -0.04

Entry 9:
This record from Alexandria via LeMat-Bulk describes an optimized crystal structure of DyLuCo4. The functional is PBE.

volume = 90.2 Å³/cell
density of states at the Fermi level = 6.728 states/eV per cell
space group = F-43m (216)
size of the total moment = 3.73 Bohr magnetons per cell

abc: 5.033 5.033 5.033
angles: 60.00 60.00 60.00
Site moments in Bohr magnetons follow the coordinates.
Atoms (fractional coordinates):
1 Co 0.625 0.625 0.124  1.13
2 Co 0.625 0.124 0.625  1.13
3 Co 0.124 0.625 0.625  1.13
4 Co 0.625 0.625 0.625  1.13
5 Lu 0.000 0.000 0.000  -0.32
6 Dy 0.250 0.250 0.250  -0.36

Entry 10:
This record from Alexandria via LeMat-Bulk describes an optimized crystal structure of DyLuMgCo. The functional is PBE.

volume = 86.4 Å³/cell
density of states at the Fermi level = 2.193 states/eV per cell
space group = F-43m (216)
size of the total moment = 0.31 Bohr magnetons per cell

abc: 4.962 4.962 4.962
angles: 60.00 60.00 60.00
Site moments in Bohr magnetons follow the coordinates.
Atoms (fractional coordinates):
1 Dy 0.250 0.250 0.250  -0.14
2 Lu 0.750 0.750 0.750  -0.12
3 Mg 0.000 0.000 0.000  0.00
4 Co 0.500 0.500 0.500  0.70

Entry 11:
This record from Alexandria via LeMat-Bulk describes an optimized crystal structure of DyLuMnCo. The functional is PBE.

volume = 79.5 Å³/cell
density of states at the Fermi level = 3.923 states/eV per cell
space group = F-43m (216)
size of the total moment = 4.08 Bohr magnetons per cell

abc: 4.826 4.826 4.826
angles: 60.00 60.00 60.00
Site moments in Bohr magnetons follow the coordinates.
Atoms (fractional coordinates):
1 Lu 0.750 0.750 0.750  -0.22
2 Co 0.500 0.500 0.500  1.10
3 Mn 0.000 0.000 0.000  3.43
4 Dy 0.250 0.250 0.250  -0.24

Entry 12:
This record from Alexandria via LeMat-Bulk describes an optimized crystal structure of DyLuCoPd. The functional is PBE.

volume = 77.9 Å³/cell
density of states at the Fermi level = 2.024 states/eV per cell
space group = F-43m (216)
size of the total moment = 0.02 Bohr magnetons per cell

abc: 4.794 4.794 4.794
angles: 60.00 60.00 60.00
Atoms (fractional coordinates):
1 Co 0.500 0.500 0.500
2 Dy 0.750 0.750 0.750
3 Lu 0.250 0.250 0.250
4 Pd 0.000 0.000 0.000

Entry 13:
This record from Alexandria via LeMat-Bulk describes an optimized crystal structure of DyLuCoRh. The functional is PBE.

volume = 75.1 Å³/cell
density of states at the Fermi level = 2.512 states/eV per cell
space group = F-43m (216)
size of the total moment = 0.39 Bohr magnetons per cell

abc: 4.735 4.735 4.735
angles: 60.00 60.00 60.00
Site moments in Bohr magnetons follow the coordinates.
Atoms (fractional coordinates):
1 Lu 0.750 0.750 0.750  -0.07
2 Rh 0.000 0.000 0.000  0.10
3 Dy 0.250 0.250 0.250  -0.09
4 Co 0.500 0.500 0.500  0.49

Entry 14:
This record from Alexandria via LeMat-Bulk describes an optimized crystal structure of Dy2Mg2Co. The functional is PBE.

volume = 116.4 Å³/cell
density of states at the Fermi level = 2.530 states/eV per cell
space group = I4/mmm (139)
size of the total moment = 0.62 Bohr magnetons per cell

abc: 3.385 3.385 10.437
angles: 99.33 99.33 90.00
Site moments in Bohr magnetons follow the coordinates.
Atoms (fractional coordinates):
1 Mg 0.799 0.799 0.597  0.00
2 Mg 0.201 0.201 0.403  0.00
3 Dy 0.580 0.580 0.160  -0.10
4 Dy 0.420 0.420 0.840  -0.10
5 Co 0.000 0.000 0.000  0.83

Entry 15:
This record from Alexandria via LeMat-Bulk describes an optimized crystal structure of Dy4MgCo2. The functional is PBE.

volume = 344.6 Å³/cell
density of states at the Fermi level = 13.470 states/eV per cell
space group = P1 (1)
size of the total moment = 0.00 Bohr magnetons per cell

abc: 7.146 6.853 8.938
angles: 126.44 101.25 86.33
Atoms (fractional coordinates):
1 Co 0.039 0.555 0.980
2 Co 0.629 0.422 0.789
3 Co 0.546 0.107 0.049
4 Co 0.650 0.809 0.098
5 Dy 0.308 0.668 0.855
6 Dy 0.883 0.123 0.651
7 Dy 0.394 0.675 0.242
8 Dy 0.806 0.746 0.797
9 Dy 0.994 0.025 0.265
10 Dy 0.793 0.444 0.121
11 Dy 0.517 0.269 0.394
12 Dy 0.406 0.100 0.748
13 Mg 0.170 0.192 0.036
14 Mg 0.115 0.615 0.475

Entry 16:
This record from Alexandria via LeMat-Bulk describes an optimized crystal structure of Dy13Mg7Co4. The functional is PBE.

volume = 604.8 Å³/cell
density of states at the Fermi level = 24.334 states/eV per cell
space group = R3m (160)
size of the total moment = 0.00 Bohr magnetons per cell

abc: 9.480 9.480 9.480
angles: 60.18 60.18 60.18
Atoms (fractional coordinates):
1 Co 0.140 0.140 0.140
2 Co 0.142 0.142 0.584
3 Co 0.584 0.142 0.142
4 Co 0.142 0.584 0.142
5 Dy 0.561 0.561 0.943
6 Dy 0.561 0.943 0.561
7 Dy 0.812 0.190 0.190
8 Dy 0.190 0.812 0.190
9 Dy 0.341 0.341 0.969
10 Dy 0.345 0.345 0.345
11 Dy 0.341 0.969 0.341
12 Dy 0.809 0.188 0.809
13 Dy 0.190 0.190 0.812
14 Dy 0.809 0.809 0.188
15 Dy 0.188 0.809 0.809
16 Dy 0.969 0.341 0.341
17 Dy 0.943 0.561 0.561
18 Mg 0.584 0.584 0.256
19 Mg 0.584 0.256 0.584
20 Mg 0.937 0.937 0.559
21 Mg 0.559 0.937 0.937
22 Mg 0.937 0.559 0.937
23 Mg 0.256 0.584 0.584
24 Mg 0.580 0.580 0.580

Entry 17:
This record from Alexandria via LeMat-Bulk describes an optimized crystal structure of Dy3Mg2Co2. The functional is PBE.

volume = 160.9 Å³/cell
density of states at the Fermi level = 8.261 states/eV per cell
space group = Cmmm (65)
size of the total moment = 1.47 Bohr magnetons per cell

abc: 3.818 3.889 11.002
angles: 90.00 80.01 90.00
Site moments in Bohr magnetons follow the coordinates.
Atoms (fractional coordinates):
1 Dy 0.178 0.000 0.644  -0.13
2 Dy 0.000 0.000 0.000  0.16
3 Dy 0.822 0.000 0.356  -0.13
4 Mg 0.411 0.500 0.179  0.00
5 Mg 0.589 0.500 0.821  0.00
6 Co 0.276 0.500 0.448  0.78
7 Co 0.724 0.500 0.552  0.78

Entry 18:
This record from Alexandria via LeMat-Bulk describes an optimized crystal structure of DyMgCo. The functional is PBE.

volume = 127.2 Å³/cell
density of states at the Fermi level = 5.031 states/eV per cell
space group = Cmcm (63)
size of the total moment = 0.72 Bohr magnetons per cell

abc: 3.820 3.897 8.766
angles: 77.16 90.00 90.00
Site moments in Bohr magnetons follow the coordinates.
Atoms (fractional coordinates):
1 Mg 0.750 0.702 0.595  -0.01
2 Mg 0.250 0.298 0.405  -0.01
3 Dy 0.250 0.088 0.823  -0.11
4 Dy 0.750 0.912 0.177  -0.11
5 Co 0.750 0.537 0.927  0.54
6 Co 0.250 0.463 0.073  0.54

Entry 19:
This record from Alexandria via LeMat-Bulk describes an optimized crystal structure of DyMgCo10. The functional is PBE.

volume = 161.0 Å³/cell
density of states at the Fermi level = 15.347 states/eV per cell
space group = Pmmm (47)
size of the total moment = 15.48 Bohr magnetons per cell

abc: 3.991 4.794 8.417
angles: 90.00 90.00 90.00
Site moments in Bohr magnetons follow the coordinates.
Atoms (fractional coordinates):
1 Mg 0.000 0.500 0.500  -0.02
2 Co 0.000 0.000 0.657  1.62
3 Co 0.500 0.250 0.749  1.64
4 Co 0.500 0.250 0.251  1.64
5 Co 0.500 0.750 0.251  1.64
6 Co 0.500 0.500 0.000  1.58
7 Co 0.000 0.500 0.812  1.54
8 Co 0.000 0.500 0.188  1.54
9 Co 0.500 0.750 0.749  1.64
10 Co 0.000 0.000 0.343  1.62
11 Co 0.500 0.000 0.500  1.70
12 Dy 0.000 0.000 0.000  -0.35

Entry 20:
This record from Alexandria via LeMat-Bulk describes an optimized crystal structure of Dy5Mg4Co2. The functional is PBE.

volume = 522.1 Å³/cell
density of states at the Fermi level = 20.546 states/eV per cell
space group = Pbam (55)
size of the total moment = 0.00 Bohr magnetons per cell

abc: 3.580 8.022 18.181
angles: 90.00 90.00 90.00
Atoms (fractional coordinates):
1 Mg 0.500 0.052 0.348
2 Mg 0.500 0.948 0.652
3 Mg 0.500 0.197 0.066
4 Mg 0.500 0.697 0.434
5 Mg 0.500 0.552 0.152
6 Mg 0.500 0.303 0.566
7 Mg 0.500 0.448 0.848
8 Mg 0.500 0.803 0.934
9 Dy 0.000 0.735 0.279
10 Dy 0.000 0.000 0.500
11 Dy 0.000 0.875 0.096
12 Dy 0.000 0.265 0.721
13 Dy 0.000 0.235 0.221
14 Dy 0.000 0.125 0.904
15 Dy 0.000 0.500 0.000
16 Dy 0.000 0.625 0.596
17 Dy 0.000 0.765 0.779
18 Dy 0.000 0.375 0.404
19 Co 0.500 0.459 0.300
20 Co 0.500 0.041 0.800
21 Co 0.500 0.541 0.700
22 Co 0.500 0.959 0.200

For the records above, the corresponding electronic total energy values read -20.4; -20.4; -19.2; -18.5; -16.3; -15.2; -21.2; -19.7; -39.0; -17.9; -25.3; -23.6; -25.8; -20.2; -69.2; -102.7; -32.2; -27.7; -77.2; -90.2 eV/cell.